[1]
Entry from Alexandria: a geometry-optimized NiAuBr2 structure (PBE-GGA).

Summary:
- Fermi-level density of states (states/eV per cell) = 5.38
- total energy (eV per cell) = -9.4
- ΔE_f (raw) (kcal/mol of atoms) = 17.13

Cell and atoms, written as CIF:
```
data_NiAuBr2
_cell_length_a 4.893
_cell_length_b 4.893
_cell_length_c 4.893
_cell_angle_alpha 60.00
_cell_angle_beta 60.00
_cell_angle_gamma 60.00
_symmetry_space_group_name_H-M 'P 1'
_symmetry_Int_Tables_number 1
_symmetry_space_group_name_Hall 'P 1'
loop_
_atom_site_label
_atom_site_type_symbol
_atom_site_fract_x
_atom_site_fract_y
_atom_site_fract_z
Br1 Br 0.000 0.000 0.000
Br2 Br 0.250 0.250 0.250
Au1 Au 0.500 0.500 0.500
Ni1 Ni 0.750 0.750 0.750
```



[2]
Entry from Alexandria: a geometry-optimized CoTc2W structure (PBE-GGA).

Summary:
- Fermi-level density of states (states/eV per cell) = 3.27
- total energy (eV per cell) = -40.7
- energy of formation (eV per atom) = 0.0323

Cell and atoms, written as CIF:
```
data_CoTc2W
_cell_length_a 3.879
_cell_length_b 3.788
_cell_length_c 3.788
_cell_angle_alpha 90.00
_cell_angle_beta 90.00
_cell_angle_gamma 90.00
_symmetry_space_group_name_H-M 'P 1'
_symmetry_Int_Tables_number 1
_symmetry_space_group_name_Hall 'P 1'
loop_
_atom_site_label
_atom_site_type_symbol
_atom_site_fract_x
_atom_site_fract_y
_atom_site_fract_z
Tc1 Tc 0.000 0.000 0.000
Tc2 Tc 0.000 0.500 0.500
W1 W 0.500 0.500 0.000
Co1 Co 0.500 0.000 0.500
```



[3]
Entry from Alexandria: a geometry-optimized CdHgBr2 structure (PBE-GGA).

Summary:
- total energy (eV per cell) = -5.9
- ΔE_f (raw) (kcal/mol of atoms) = -7.91

Cell and atoms, written as CIF:
```
data_CdHgBr2
_cell_length_a 4.169
_cell_length_b 4.169
_cell_length_c 9.364
_cell_angle_alpha 90.00
_cell_angle_beta 90.00
_cell_angle_gamma 123.40
_symmetry_space_group_name_H-M 'P 1'
_symmetry_Int_Tables_number 1
_symmetry_space_group_name_Hall 'P 1'
loop_
_atom_site_label
_atom_site_type_symbol
_atom_site_fract_x
_atom_site_fract_y
_atom_site_fract_z
Br1 Br 0.000 0.000 0.942
Br2 Br 0.500 0.500 0.313
Cd1 Cd 0.000 0.000 0.508
Hg1 Hg 0.500 0.500 0.737
```